DFT (PBE-GGA) results for a geometry-optimized LiPm2Ho structure.

abc: 3.6375 3.6375 9.1063
angles: 90.00 90.00 90.00
Closest atoms and distances in Å follow each position.
Space group P4/mmm (No. 123)
Unique sites:
Li 0.0000 0.0000 0.0000 x1  8 Pm 3.31, 4 Li 3.64
Pm 0.5000 0.5000 0.2295 x2  4 Li 3.31, 4 Ho 3.56, 4 Pm 3.64
Ho 0.0000 0.0000 0.5000 x1  8 Pm 3.56, 4 Ho 3.64

Summary:
Size of the total moment: 0.00 μB/atom
N(E_F): 5.85 states/eV/f.u.
Energy above the most stable polymorph in this dataset: 0.0 meV per atom
Energy of formation: 0.067 eV/atom